*i*
VASP calculation (PBE) on a relaxed ZrScGaIr crystal.

```
data_ZrScGaIr
_symmetry_space_group_name_H-M 'P 4 m m'
_symmetry_Int_Tables_number 99
_cell_length_a 3.336
_cell_length_b 3.336
_cell_length_c 6.564
_cell_angle_alpha 90.00
_cell_angle_beta 90.00
_cell_angle_gamma 90.00
loop_
_symmetry_equiv_pos_as_xyz
'x,y,z'
'-y,x,z'
'-x,-y,z'
'y,-x,z'
'-x,y,z'
'y,x,z'
'x,-y,z'
'-y,-x,z'
loop_
_atom_site_label
_atom_site_type_symbol
_atom_site_fract_x
_atom_site_fract_y
_atom_site_fract_z
Zr1 Zr 0.000 0.000 0.000
Sc1 Sc 0.000 0.000 0.522
Ga1 Ga 0.500 0.500 0.267
Ir1 Ir 0.500 0.500 0.753
```

* Fermi-level density of states: 2.1 states/eV per cell



*ii*
VASP calculation (PBE) on a relaxed ZrScGaIr crystal.

```
data_ZrScGaIr
_symmetry_space_group_name_H-M 'F -4 3 m'
_symmetry_Int_Tables_number 216
_symmetry_space_group_name_Hall 'F -4 2 3'
_cell_length_a 6.641
_cell_length_b 6.641
_cell_length_c 6.641
_cell_angle_alpha 90.00
_cell_angle_beta 90.00
_cell_angle_gamma 90.00
loop_
_atom_site_label
_atom_site_type_symbol
_atom_site_fract_x
_atom_site_fract_y
_atom_site_fract_z
Zr1 Zr 0.000 0.000 0.000
Sc1 Sc 0.000 0.000 0.500
Ga1 Ga 0.250 0.250 0.750
Ir1 Ir 0.250 0.250 0.250
```

* Fermi-level density of states: 12.4 states/eV per cell



Pick *i*: it beats the second-best structure by 48 meV per atom.



*i*
VASP calculation (PBE) on a relaxed GaSiIr3 crystal.

```
data_GaSiIr3
_symmetry_space_group_name_H-M 'P m -3 m'
_symmetry_Int_Tables_number 221
_symmetry_space_group_name_Hall '-P 4 2 3'
_cell_length_a 4.423
_cell_length_b 4.423
_cell_length_c 4.423
_cell_angle_alpha 90.00
_cell_angle_beta 90.00
_cell_angle_gamma 90.00
loop_
_atom_site_label
_atom_site_type_symbol
_atom_site_fract_x
_atom_site_fract_y
_atom_site_fract_z
Ga1 Ga 0.000 0.000 0.000
Si1 Si 0.500 0.500 0.500
Ir1 Ir 0.000 0.500 0.500
```

* Fermi-level density of states: 0.6 states/eV per cell



*ii*
VASP calculation (PBE) on a relaxed GaSiIr3 crystal.

```
data_GaSiIr3
_symmetry_space_group_name_H-M 'P m -3 m'
_symmetry_Int_Tables_number 221
_symmetry_space_group_name_Hall '-P 4 2 3'
_cell_length_a 4.534
_cell_length_b 4.534
_cell_length_c 4.534
_cell_angle_alpha 90.00
_cell_angle_beta 90.00
_cell_angle_gamma 90.00
loop_
_atom_site_label
_atom_site_type_symbol
_atom_site_fract_x
_atom_site_fract_y
_atom_site_fract_z
Ga1 Ga 0.000 0.000 0.000
Si1 Si 0.500 0.500 0.500
Ir1 Ir 0.000 0.000 0.500
```

* Fermi-level density of states: 6.2 states/eV per cell



Pick *i*: it beats the second-best structure by 785 meV per atom.



*i*
VASP calculation (PBE) on a relaxed Sm8Ga2Ir crystal.

```
data_Sm8Ga2Ir
_symmetry_space_group_name_H-M 'C 1 2/m 1'
_symmetry_Int_Tables_number 12
_cell_length_a 18.670
_cell_length_b 5.045
_cell_length_c 6.748
_cell_angle_alpha 90.00
_cell_angle_beta 102.02
_cell_angle_gamma 90.00
loop_
_symmetry_equiv_pos_as_xyz
'x,y,z'
'-x,-y,-z'
'-x,y,-z'
'x,-y,z'
'x+1/2,y+1/2,z'
'-x+1/2,-y+1/2,-z'
'-x+1/2,y+1/2,-z'
'x+1/2,-y+1/2,z'
loop_
_atom_site_label
_atom_site_type_symbol
_atom_site_fract_x
_atom_site_fract_y
_atom_site_fract_z
Sm1 Sm 0.024 0.000 0.281
Sm2 Sm 0.090 0.500 0.949
Sm3 Sm 0.153 0.500 0.474
Sm4 Sm 0.210 0.000 0.814
Ga1 Ga 0.188 0.000 0.251
Ir1 Ir 0.000 0.500 0.500
```

* Fermi-level density of states: 19.8 states/eV per cell



*ii*
VASP calculation (PBE) on a relaxed Sm8Ga2Ir crystal.

```
data_Sm8Ga2Ir
_symmetry_space_group_name_H-M 'I m m m'
_symmetry_Int_Tables_number 71
_symmetry_space_group_name_Hall '-I 2 2'
_cell_length_a 4.881
_cell_length_b 8.584
_cell_length_c 14.486
_cell_angle_alpha 90.00
_cell_angle_beta 90.00
_cell_angle_gamma 90.00
loop_
_atom_site_label
_atom_site_type_symbol
_atom_site_fract_x
_atom_site_fract_y
_atom_site_fract_z
Sm1 Sm 0.000 0.000 0.122
Sm2 Sm 0.000 0.224 0.341
Sm3 Sm 0.000 0.327 0.000
Ga1 Ga 0.000 0.500 0.194
Ir1 Ir 0.000 0.500 0.500
```

* Fermi-level density of states: 23.4 states/eV per cell



Pick *i*: it beats the second-best structure by 111 meV per atom.



*i*
VASP calculation (PBE) on a relaxed GaSnIr2 crystal.

```
data_GaSnIr2
_symmetry_space_group_name_H-M 'P 4/m m m'
_symmetry_Int_Tables_number 123
_symmetry_space_group_name_Hall '-P 4 2'
_cell_length_a 4.239
_cell_length_b 4.239
_cell_length_c 3.575
_cell_angle_alpha 90.00
_cell_angle_beta 90.00
_cell_angle_gamma 90.00
loop_
_atom_site_label
_atom_site_type_symbol
_atom_site_fract_x
_atom_site_fract_y
_atom_site_fract_z
Ga1 Ga 0.000 0.000 0.000
Sn1 Sn 0.500 0.500 0.000
Ir1 Ir 0.000 0.500 0.500
```

* Fermi-level density of states: 0.6 states/eV per cell



*ii*
VASP calculation (PBE) on a relaxed GaSnIr2 crystal.

```
data_GaSnIr2
_symmetry_space_group_name_H-M 'I -4 2 d'
_symmetry_Int_Tables_number 122
_symmetry_space_group_name_Hall 'I -4 2bw'
_cell_length_a 5.583
_cell_length_b 5.583
_cell_length_c 12.294
_cell_angle_alpha 90.00
_cell_angle_beta 90.00
_cell_angle_gamma 90.00
loop_
_atom_site_label
_atom_site_type_symbol
_atom_site_fract_x
_atom_site_fract_y
_atom_site_fract_z
Ga1 Ga 0.000 0.000 0.000
Sn1 Sn 0.000 0.000 0.500
Ir1 Ir 0.223 0.250 0.125
```

* Fermi-level density of states: 11.3 states/eV per cell



Pick *i*: it beats the second-best structure by 638 meV per atom.



*i*
VASP calculation (PBE) on a relaxed GaSnIr2 crystal.

```
data_GaSnIr2
_symmetry_space_group_name_H-M 'R 3 m'
_symmetry_Int_Tables_number 160
_symmetry_space_group_name_Hall 'R 3 -2"'
_cell_length_a 4.0165
_cell_length_b 4.0165
_cell_length_c 15.2319
_cell_angle_alpha 90.00
_cell_angle_beta 90.00
_cell_angle_gamma 120.00
loop_
_atom_site_label
_atom_site_type_symbol
_atom_site_fract_x
_atom_site_fract_y
_atom_site_fract_z
Ga1 Ga 0.0000 0.0000 0.0000
Sn1 Sn 0.0000 0.0000 0.1799
Ir1 Ir 0.0000 0.0000 0.4115
Ir2 Ir 0.0000 0.0000 0.6051
```

* Fermi-level density of states: 7.0 states/eV per cell



*ii*
VASP calculation (PBE) on a relaxed GaSnIr2 crystal.

```
data_GaSnIr2
_symmetry_space_group_name_H-M 'P 4/m m m'
_symmetry_Int_Tables_number 123
_symmetry_space_group_name_Hall '-P 4 2'
_cell_length_a 3.024
_cell_length_b 3.024
_cell_length_c 6.996
_cell_angle_alpha 90.00
_cell_angle_beta 90.00
_cell_angle_gamma 90.00
loop_
_atom_site_label
_atom_site_type_symbol
_atom_site_fract_x
_atom_site_fract_y
_atom_site_fract_z
Ga1 Ga 0.000 0.000 0.000
Sn1 Sn 0.000 0.000 0.500
Ir1 Ir 0.500 0.500 0.226
```

* Fermi-level density of states: 0.8 states/eV per cell



*iii*
VASP calculation (PBE) on a relaxed GaSnIr2 crystal.

```
data_GaSnIr2
_symmetry_space_group_name_H-M 'F m -3 m'
_symmetry_Int_Tables_number 225
_symmetry_space_group_name_Hall '-F 4 2 3'
_cell_length_a 6.370
_cell_length_b 6.370
_cell_length_c 6.370
_cell_angle_alpha 90.00
_cell_angle_beta 90.00
_cell_angle_gamma 90.00
loop_
_atom_site_label
_atom_site_type_symbol
_atom_site_fract_x
_atom_site_fract_y
_atom_site_fract_z
Ga1 Ga 0.000 0.000 0.000
Sn1 Sn 0.000 0.000 0.500
Ir1 Ir 0.250 0.250 0.250
```

* Fermi-level density of states: 17.3 states/eV per cell



Pick *ii*: it beats the second-best structure by 40 meV per atom.



*i*
VASP calculation (PBE) on a relaxed Ga2SnIr2 crystal.

```
data_Ga2SnIr2
_symmetry_space_group_name_H-M 'P 1 21/m 1'
_symmetry_Int_Tables_number 11
_cell_length_a 6.509
_cell_length_b 3.026
_cell_length_c 9.124
_cell_angle_alpha 90.00
_cell_angle_beta 99.36
_cell_angle_gamma 90.00
loop_
_symmetry_equiv_pos_as_xyz
'x,y,z'
'-x,-y,-z'
'-x,y+1/2,-z'
'x,-y+1/2,z'
loop_
_atom_site_label
_atom_site_type_symbol
_atom_site_fract_x
_atom_site_fract_y
_atom_site_fract_z
Ga1 Ga 0.003 0.250 0.270
Ga2 Ga 0.227 0.250 0.061
Sn1 Sn 0.484 0.250 0.656
Ir1 Ir 0.175 0.750 0.483
Ir2 Ir 0.363 0.750 0.876
```

* Fermi-level density of states: 4.1 states/eV per cell



*ii*
VASP calculation (PBE) on a relaxed Ga2SnIr2 crystal.

```
data_Ga2SnIr2
_symmetry_space_group_name_H-M 'P 4/m b m'
_symmetry_Int_Tables_number 127
_symmetry_space_group_name_Hall '-P 4 2ab'
_cell_length_a 7.639
_cell_length_b 7.639
_cell_length_c 2.874
_cell_angle_alpha 90.00
_cell_angle_beta 90.00
_cell_angle_gamma 90.00
loop_
_atom_site_label
_atom_site_type_symbol
_atom_site_fract_x
_atom_site_fract_y
_atom_site_fract_z
Ga1 Ga 0.132 0.368 0.000
Sn1 Sn 0.000 0.000 0.000
Ir1 Ir 0.160 0.660 0.500
```

* Fermi-level density of states: 3.8 states/eV per cell



*iii*
VASP calculation (PBE) on a relaxed Ga2SnIr2 crystal.

```
data_Ga2SnIr2
_symmetry_space_group_name_H-M 'P 4/m b m'
_symmetry_Int_Tables_number 127
_symmetry_space_group_name_Hall '-P 4 2ab'
_cell_length_a 7.527
_cell_length_b 7.527
_cell_length_c 2.936
_cell_angle_alpha 90.00
_cell_angle_beta 90.00
_cell_angle_gamma 90.00
loop_
_atom_site_label
_atom_site_type_symbol
_atom_site_fract_x
_atom_site_fract_y
_atom_site_fract_z
Ga1 Ga 0.144 0.356 0.000
Sn1 Sn 0.000 0.000 0.500
Ir1 Ir 0.151 0.651 0.500
```

* Fermi-level density of states: 7.0 states/eV per cell



*iv*
VASP calculation (PBE) on a relaxed Ga2SnIr2 crystal.

```
data_Ga2SnIr2
_symmetry_space_group_name_H-M 'I 4/m m m'
_symmetry_Int_Tables_number 139
_symmetry_space_group_name_Hall '-I 4 2'
_cell_length_a 3.673
_cell_length_b 3.673
_cell_length_c 12.631
_cell_angle_alpha 90.00
_cell_angle_beta 90.00
_cell_angle_gamma 90.00
loop_
_atom_site_label
_atom_site_type_symbol
_atom_site_fract_x
_atom_site_fract_y
_atom_site_fract_z
Ga1 Ga 0.000 0.500 0.250
Sn1 Sn 0.000 0.000 0.000
Ir1 Ir 0.000 0.000 0.392
```

* Fermi-level density of states: 3.6 states/eV per cell



Pick *iv*: it beats the second-best structure by 14 meV per atom.